First-principles (PBE-GGA) data for Ba5HgN after structural relaxation, as listed in Alexandria.

a b c (Å): 8.1291 8.1291 11.5382
angles (deg): 110.71 110.71 67.30
Fractional coordinates of all 14 atoms:
1 Ba 0.0571 0.9429 0.7500
2 Ba 0.1173 0.3046 0.6228
3 Ba 0.2214 0.6396 0.0121
4 Ba 0.3046 0.1173 0.1228
5 Ba 0.3604 0.7786 0.4879
6 Ba 0.6396 0.2214 0.5121
7 Ba 0.6954 0.8827 0.8772
8 Ba 0.7786 0.3604 0.9879
9 Ba 0.8827 0.6954 0.3772
10 Ba 0.9429 0.0571 0.2500
11 Hg 0.4370 0.5630 0.7500
12 Hg 0.5630 0.4370 0.2500
13 N 0.0000 0.0000 0.0000
14 N 0.0000 0.0000 0.5000

As for the total energy: -0.209 Ry per atom. For the uncorrected formation energy, the calculation gives -0.244 eV/atom. Its space group is C2/c. The value obtained for the total moment is 0.00 μB per formula unit.